Record 1
{
  "formula": "Sr3Tl2Sn",
  "functional": "GGA-PBE",
  "state": "optimized geometry",
  "polymorph_energy_ev_per_atom": 0.0000,
  "formation_enthalpy_0k_ev_per_atom": -0.49,
  "dos_ef_per_ev_cell": 3.53,
  "total_magnetization_mub_per_fu": 0.00,
  "energy_ev_per_atom": -2.79,
  "lattice": [[-2.790, -2.667, 0.851], [4.074, -3.564, 2.189], [-3.116, 5.464, 6.908]],
  "species": ["Sr", "Sr", "Sr", "Tl", "Tl", "Sn"],
  "frac_coords": [[0.500, 0.839, 0.678], [0.500, 0.161, 0.322], [0.500, 0.500, 0.000], [0.000, 0.323, 0.646], [0.000, 0.677, 0.354], [0.000, 0.000, 0.000]]
}

Record 2
{
  "formula": "TbHo2Pb",
  "functional": "GGA-PBE",
  "state": "optimized geometry",
  "polymorph_energy_ev_per_atom": 0.1191,
  "formation_enthalpy_0k_ev_per_atom": -0.16,
  "dos_ef_per_ev_cell": 4.16,
  "total_magnetization_mub_per_fu": 0.00,
  "energy_ev_per_atom": -4.53,
  "lattice": [[3.600, 0.000, 0.000], [1.800, 3.117, 0.000], [1.800, 1.039, 10.898]],
  "species": ["Pb", "Ho", "Ho", "Tb"],
  "frac_coords": [[0.667, 0.667, 0.000], [0.253, 0.253, 0.240], [0.080, 0.080, 0.759], [0.500, 0.500, 0.500]]
}

Record 3
{
  "formula": "MnMo3N",
  "functional": "GGA-PBE",
  "state": "optimized geometry",
  "polymorph_energy_ev_per_atom": 2.1104,
  "formation_energy_uncorrected_ev_per_atom": 2.1805,
  "dos_ef_per_ev_cell": 5.23,
  "total_magnetization_mub_per_fu": 0.00,
  "energy_ev_per_atom": -7.82,
  "lattice": [[-3.452, 1.356, -2.400], [-1.257, -4.197, -0.563], [-2.453, 0.243, 3.665]],
  "species": ["Mo", "Mo", "Mo", "Mn", "N"],
  "frac_coords": [[0.500, 0.000, 0.000], [0.000, 0.000, 0.500], [0.000, 0.500, 0.000], [0.000, 0.000, 0.000], [0.500, 0.500, 0.500]]
}